V3O4 (GGA+U, optimized geometry); E_tot = -111.129 eV/cell; volume = 161.4 Å³ per cell; total magnetization = 14.00 Bohr magnetons per cell
1.0
5.3093 0.0351 3.0869
1.7926 4.9977 3.0869
0.0495 0.0351 6.1413
O V
8 6
Direct
0.7459 0.2689 0.7459 O
0.7311 0.2541 0.2541 O
0.2541 0.2541 0.7311 O
0.2689 0.7459 0.7459 O
0.2571 0.2571 0.2571 O
0.7459 0.7459 0.2689 O
0.2541 0.7311 0.2541 O
0.7429 0.7429 0.7429 O
0.1248 0.1248 0.1248 V
0.0000 0.5000 0.5000 V
0.5000 0.0000 0.5000 V
0.5000 0.5000 0.0000 V
0.8752 0.8752 0.8752 V
0.5000 0.5000 0.5000 V